Entry 1:
Entry from the Open Quantum Materials Database: a geometry-optimized CsRbNi structure (PBE).

Cell: 5.7780 5.7780 5.7780 Å, 60.00 60.00 60.00°
Positions (direct):
Ni (0.2500, 0.2500, 0.2500)
Cs (0.0000, 0.0000, 0.0000)
Rb (0.7500, 0.7500, 0.7500)

* offset from the most stable computed form: 12.8 meV/atom

***

Entry 2:
Entry from the Open Quantum Materials Database: a geometry-optimized Rb2PuSe2S structure (PBE).

Cell: 8.6797 8.6797 10.9370 Å, 126.80 126.80 47.76°
Site moments in Bohr magnetons follow the coordinates.
Positions (direct):
Pu (0.6488, 0.6488, 0.0778)  4.71
Pu (0.3512, 0.3512, 0.9222)  4.71
Rb (0.3388, 0.3388, 0.4711)  0.00
Rb (0.6612, 0.6612, 0.5289)  0.00
Rb (0.0566, 0.0566, 0.7885)  0.00
Rb (0.9434, 0.9434, 0.2115)  0.00
Se (0.8117, 0.8117, 0.4019)  -0.17
Se (0.3528, 0.3528, 0.1712)  -0.20
Se (0.1883, 0.1883, 0.5981)  -0.17
Se (0.6472, 0.6472, 0.8288)  -0.20
S (0.7479, 0.2521, 0.0000)  -0.16
S (0.2521, 0.7479, 0.0000)  -0.16

***

Entry 3:
Entry from the Open Quantum Materials Database: a geometry-optimized TbSmHo structure (PBE).

Cell: 5.4331 5.4331 5.4331 Å, 60.00 60.00 60.00°
Positions (direct):
Tb (0.7500, 0.7500, 0.7500)
Ho (0.0000, 0.0000, 0.0000)
Sm (0.2500, 0.2500, 0.2500)

* offset from the most stable computed form: 0.0 meV/atom
* energy relative to the elements: 2.1 eV per formula unit

***

Number 1: calculated total energy -1.59 eV per atom. Number 2: calculated total energy -5.68 eV per atom. Number 3: calculated total energy -3.93 eV per atom.